The following is a PBE-GGA calculation of a relaxed structure of DyPaNi, from Alexandria via LeMat-Bulk.

formation energy	0.185	eV/atom
D(E_F)	4.71	states/eV/f.u.
excess energy over the best structure of this formula in the dataset	380	meV per atom
space-group type	P-6m2 (187)

Cell: 4.3499 4.3499 4.4315 Å, 90.00 90.00 120.00°
Atoms (fractional coordinates):
Dy: 0.0000 0.0000 0.0000
Pa: 0.6667 0.3333 0.5000
Ni: 0.3333 0.6667 0.5000